Entry 1:
First-principles (GGA-PBE) data for a relaxed structure of Ag7Cl6, as listed in Alexandria.

Lattice parameters (Å, degrees): 9.978 9.978 9.978 35.37 35.37 35.37
Sites, in units of the cell vectors:
Cl1 0.192 0.192 0.192
Cl2 0.662 0.662 0.662
Cl3 0.928 0.928 0.928
Cl4 0.338 0.338 0.338
Cl5 0.808 0.808 0.808
Cl6 0.072 0.072 0.072
Ag1 0.570 0.093 0.570
Ag2 0.500 0.500 0.500
Ag3 0.430 0.907 0.430
Ag4 0.570 0.570 0.093
Ag5 0.430 0.430 0.907
Ag6 0.907 0.430 0.430
Ag7 0.093 0.570 0.570

***

Entry 2:
First-principles (GGA-PBE) data for a relaxed structure of Ag4Cl5, as listed in Alexandria.

Lattice parameters (Å, degrees): 4.443 7.393 7.393 104.40 95.87 95.87
Sites, in units of the cell vectors:
Ag1 0.311 0.680 0.662
Ag2 0.311 0.995 0.346
Ag3 0.689 0.654 0.005
Ag4 0.689 0.338 0.320
Cl1 0.000 0.959 0.041
Cl2 0.421 0.356 0.022
Cl3 0.579 0.978 0.644
Cl4 0.000 0.374 0.626
Cl5 0.000 0.667 0.333

***

Entry 3:
First-principles (GGA-PBE) data for a relaxed structure of AgCl3, as listed in Alexandria.

Lattice parameters (Å, degrees): 7.755 7.755 7.755 31.16 31.16 31.16
Sites, in units of the cell vectors:
Cl1 0.895 0.895 0.895
Cl2 0.000 0.000 0.000
Cl3 0.105 0.105 0.105
Ag1 0.500 0.500 0.500

***

Entry 4:
First-principles (GGA-PBE) data for a relaxed structure of Ag5Cl3, as listed in Alexandria.

Lattice parameters (Å, degrees): 7.877 7.877 6.786 90.00 90.00 120.00
Sites, in units of the cell vectors:
Ag1 0.000 0.803 0.750
Ag2 0.197 0.197 0.750
Ag3 0.000 0.197 0.250
Ag4 0.667 0.333 0.000
Ag5 0.803 0.803 0.250
Ag6 0.333 0.667 0.500
Ag7 0.333 0.667 0.000
Ag8 0.197 0.000 0.250
Ag9 0.803 0.000 0.750
Ag10 0.667 0.333 0.500
Cl1 0.518 0.518 0.750
Cl2 0.482 0.000 0.750
Cl3 0.000 0.518 0.250
Cl4 0.482 0.482 0.250
Cl5 0.000 0.482 0.750
Cl6 0.518 0.000 0.250

***

Entry 5:
First-principles (GGA-PBE) data for a relaxed structure of AgCl, as listed in Alexandria.

Lattice parameters (Å, degrees): 7.294 7.294 4.356 90.00 90.00 90.00
Sites, in units of the cell vectors:
Ag1 0.682 0.682 0.000
Ag2 0.818 0.182 0.500
Ag3 0.318 0.318 0.000
Ag4 0.182 0.818 0.500
Cl1 0.185 0.185 0.500
Cl2 0.685 0.315 0.000
Cl3 0.315 0.685 0.000
Cl4 0.815 0.815 0.500

***

Entry 6:
First-principles (GGA-PBE) data for a relaxed structure of AgCl3, as listed in Alexandria.

Lattice parameters (Å, degrees): 7.892 7.892 7.892 152.60 152.60 39.14
Sites, in units of the cell vectors:
Cl1 0.750 0.250 0.500
Cl2 0.250 0.750 0.500
Cl3 0.500 0.500 0.000
Ag1 0.000 0.000 0.000

***

ΔE_f (raw): -229, -312, -190, -98, -434, -5 (meV per atom)